Entry 1:
The following is a PBE calculation of a geometry-optimized NbReMo4 structure, from Alexandria.

Calculated values
Energy relative to the lowest polymorph listed for this composition (meV per atom): 211
Density (g/cm3): 11.26
Formation energy from the elements (eV/atom): 0.15
E (eV per cell): -129.863

a = 4.851 Å, b = 4.851 Å, c = 8.993 Å
α = 90.00°, β = 90.00°, γ = 112.55°
Positions (direct):
Nb 0.000 0.500 0.000
Nb 0.500 0.000 0.500
Re 0.000 0.000 0.250
Re 0.000 0.000 0.750
Mo 0.162 0.333 0.500
Mo 0.333 0.162 0.000
Mo 0.333 0.667 0.250
Mo 0.333 0.667 0.750
Mo 0.667 0.333 0.250
Mo 0.667 0.333 0.750
Mo 0.667 0.838 0.000
Mo 0.838 0.667 0.500

Entry 2:
The following is a PBE calculation of a geometry-optimized Nb12Re2Mo5 structure, from Alexandria.

Calculated values
Density (g/cm3): 8.88
Formation energy from the elements (eV/atom): 0.55
E (eV per cell): -189.435

a = 7.793 Å, b = 7.793 Å, c = 8.580 Å
α = 97.45°, β = 97.45°, γ = 45.48°
Positions (direct):
Nb 0.024 0.024 0.285
Nb 0.080 0.560 0.876
Nb 0.096 0.617 0.420
Nb 0.383 0.904 0.580
Nb 0.409 0.409 0.182
Nb 0.440 0.920 0.124
Nb 0.560 0.080 0.876
Nb 0.591 0.591 0.818
Nb 0.617 0.096 0.420
Nb 0.904 0.383 0.580
Nb 0.920 0.440 0.124
Nb 0.976 0.976 0.715
Re 0.239 0.761 0.000
Re 0.761 0.239 0.000
Mo 0.152 0.152 0.864
Mo 0.208 0.208 0.363
Mo 0.500 0.500 0.500
Mo 0.792 0.792 0.637
Mo 0.848 0.848 0.136

Entry 3:
The following is a PBE calculation of a geometry-optimized NbReMo6 structure, from Alexandria.

Calculated values
Energy relative to the lowest polymorph listed for this composition (meV per atom): 459
Density (g/cm3): 9.92
Formation energy from the elements (eV/atom): 0.69
E (eV per cell): -82.020

a = 4.490 Å, b = 4.490 Å, c = 7.713 Å
α = 101.62°, β = 101.62°, γ = 71.89°
Positions (direct):
Nb 0.000 0.000 0.000
Re 0.500 0.500 0.500
Mo 0.041 0.559 0.209
Mo 0.130 0.130 0.419
Mo 0.441 0.959 0.791
Mo 0.559 0.041 0.209
Mo 0.870 0.870 0.581
Mo 0.959 0.441 0.791

Entry 4:
The following is a PBE calculation of a geometry-optimized NbRe3Mo structure, from Alexandria.

Calculated values
Energy relative to the lowest polymorph listed for this composition (meV per atom): 0
Density (g/cm3): 12.42
Formation energy from the elements (eV/atom): 1.96
E (eV per cell): -48.446

a = 4.641 Å, b = 4.641 Å, c = 4.641 Å
α = 90.00°, β = 90.00°, γ = 90.00°
Positions (direct):
Nb 0.000 0.000 0.000
Re 0.000 0.500 0.500
Re 0.500 0.000 0.500
Re 0.500 0.500 0.000
Mo 0.500 0.500 0.500

Entry 5:
The following is a PBE calculation of a geometry-optimized Nb7Re2Mo3 structure, from Alexandria.

Calculated values
Density (g/cm3): 9.70
Formation energy from the elements (eV/atom): 0.33
E (eV per cell): -123.968

a = 11.200 Å, b = 11.200 Å, c = 4.501 Å
α = 90.00°, β = 90.00°, γ = 156.59°
Positions (direct):
Nb 0.000 0.000 0.000
Nb 0.078 0.922 0.500
Nb 0.285 0.715 0.000
Nb 0.425 0.575 0.000
Nb 0.575 0.425 0.000
Nb 0.715 0.285 0.000
Nb 0.922 0.078 0.500
Re 0.147 0.853 0.000
Re 0.853 0.147 0.000
Mo 0.351 0.649 0.500
Mo 0.500 0.500 0.500
Mo 0.649 0.351 0.500

Entry 6:
The following is a PBE calculation of a geometry-optimized Nb2ReMo2 structure, from Alexandria.

Calculated values
Energy relative to the lowest polymorph listed for this composition (meV per atom): 0
Density (g/cm3): 11.34
Formation energy from the elements (eV/atom): -0.18
E (eV per cell): -110.261

a = 3.196 Å, b = 4.531 Å, c = 11.509 Å
α = 90.00°, β = 97.77°, γ = 90.00°
Positions (direct):
Nb 0.051 0.250 0.100
Nb 0.150 0.750 0.300
Nb 0.850 0.250 0.700
Nb 0.949 0.750 0.900
Re 0.346 0.750 0.694
Re 0.654 0.250 0.306
Mo 0.248 0.250 0.497
Mo 0.448 0.250 0.897
Mo 0.552 0.750 0.103
Mo 0.752 0.750 0.503

Entry 7:
The following is a PBE calculation of a geometry-optimized NbRe2Mo2 structure, from Alexandria.

Calculated values
Density (g/cm3): 13.11
Formation energy from the elements (eV/atom): 0.28
E (eV per cell): -110.422

a = 7.558 Å, b = 7.558 Å, c = 2.914 Å
α = 90.00°, β = 90.00°, γ = 90.00°
Positions (direct):
Nb 0.000 0.000 0.000
Nb 0.500 0.500 0.000
Re 0.151 0.349 0.500
Re 0.349 0.849 0.500
Re 0.651 0.151 0.500
Re 0.849 0.651 0.500
Mo 0.148 0.648 0.000
Mo 0.352 0.148 0.000
Mo 0.648 0.852 0.000
Mo 0.852 0.352 0.000

Entry 8:
The following is a PBE calculation of a geometry-optimized NbRe3Mo structure, from Alexandria.

Calculated values
Energy relative to the lowest polymorph listed for this composition (meV per atom): 498
Density (g/cm3): 12.25
Formation energy from the elements (eV/atom): 2.46
E (eV per cell): -45.954

a = 4.662 Å, b = 4.662 Å, c = 4.662 Å
α = 90.00°, β = 90.00°, γ = 90.00°
Positions (direct):
Nb 0.000 0.000 0.000
Re 0.000 0.000 0.500
Re 0.000 0.500 0.000
Re 0.500 0.000 0.000
Mo 0.500 0.500 0.500

Entry 9:
The following is a PBE calculation of a geometry-optimized Nb5ReMo2 structure, from Alexandria.

Calculated values
Density (g/cm3): 10.12
Formation energy from the elements (eV/atom): -0.06
E (eV per cell): -169.819

a = 5.505 Å, b = 10.853 Å, c = 4.630 Å
α = 90.00°, β = 90.00°, γ = 90.00°
Positions (direct):
Nb 0.000 0.000 0.000
Nb 0.149 0.257 0.000
Nb 0.164 0.618 0.500
Nb 0.336 0.118 0.500
Nb 0.351 0.757 0.000
Nb 0.500 0.500 0.000
Nb 0.649 0.243 0.000
Nb 0.664 0.882 0.500
Nb 0.836 0.382 0.500
Nb 0.851 0.743 0.000
Re 0.000 0.500 0.000
Re 0.500 0.000 0.000
Mo 0.166 0.878 0.500
Mo 0.334 0.378 0.500
Mo 0.666 0.622 0.500
Mo 0.834 0.122 0.500

Entry 10:
The following is a PBE calculation of a geometry-optimized NbRe4Mo structure, from Alexandria.

Calculated values
Density (g/cm3): 15.85
Formation energy from the elements (eV/atom): 0.06
E (eV per cell): -70.329

a = 5.172 Å, b = 5.172 Å, c = 5.172 Å
α = 60.00°, β = 60.00°, γ = 60.00°
Positions (direct):
Nb 0.000 0.000 0.000
Re 0.375 0.375 0.375
Re 0.375 0.375 0.876
Re 0.375 0.876 0.375
Re 0.876 0.375 0.375
Mo 0.750 0.750 0.750

Entry 11:
The following is a PBE calculation of a geometry-optimized Nb2ReMo2 structure, from Alexandria.

Calculated values
Energy relative to the lowest polymorph listed for this composition (meV per atom): 480
Density (g/cm3): 10.80
Formation energy from the elements (eV/atom): 0.30
E (eV per cell): -105.460

a = 7.132 Å, b = 7.132 Å, c = 7.132 Å
α = 132.02°, β = 64.69°, γ = 139.30°
Positions (direct):
Nb 0.193 0.154 0.346
Nb 0.307 0.654 0.961
Nb 0.693 0.346 0.039
Nb 0.807 0.846 0.654
Re 0.250 0.250 0.000
Re 0.750 0.750 0.000
Mo 0.089 0.618 0.706
Mo 0.411 0.118 0.529
Mo 0.589 0.882 0.471
Mo 0.911 0.382 0.294

Entry 12:
The following is a PBE calculation of a geometry-optimized Nb3Re4Mo structure, from Alexandria.

Calculated values
Density (g/cm3): 14.34
Formation energy from the elements (eV/atom): -0.18
E (eV per cell): -92.243

a = 3.186 Å, b = 3.186 Å, c = 12.772 Å
α = 90.00°, β = 90.00°, γ = 90.00°
Positions (direct):
Nb 0.000 0.000 0.000
Nb 0.000 0.000 0.251
Nb 0.000 0.000 0.749
Re 0.500 0.500 0.126
Re 0.500 0.500 0.378
Re 0.500 0.500 0.622
Re 0.500 0.500 0.874
Mo 0.000 0.000 0.500

Entry 13:
The following is a PBE calculation of a geometry-optimized Nb4ReMo3 structure, from Alexandria.

Calculated values
Energy relative to the lowest polymorph listed for this composition (meV per atom): 292
Density (g/cm3): 10.26
Formation energy from the elements (eV/atom): 0.10
E (eV per cell): -168.804

a = 9.150 Å, b = 5.444 Å, c = 5.494 Å
α = 90.00°, β = 90.00°, γ = 90.00°
Positions (direct):
Nb 0.000 0.230 0.000
Nb 0.000 0.734 0.989
Nb 0.249 0.588 0.248
Nb 0.251 0.412 0.748
Nb 0.500 0.266 0.489
Nb 0.500 0.770 0.500
Nb 0.749 0.412 0.748
Nb 0.751 0.588 0.248
Re 0.000 0.765 0.493
Re 0.500 0.235 0.993
Mo 0.000 0.265 0.496
Mo 0.248 0.911 0.746
Mo 0.252 0.089 0.246
Mo 0.500 0.735 0.996
Mo 0.748 0.089 0.246
Mo 0.752 0.911 0.746

Entry 14:
The following is a PBE calculation of a geometry-optimized Nb6Re2Mo structure, from Alexandria.

Calculated values
Energy relative to the lowest polymorph listed for this composition (meV per atom): 0
Density (g/cm3): 11.11
Formation energy from the elements (eV/atom): -0.16
E (eV per cell): -97.562

a = 4.580 Å, b = 4.580 Å, c = 8.442 Å
α = 90.00°, β = 90.00°, γ = 120.00°
Positions (direct):
Nb 0.000 0.000 0.164
Nb 0.000 0.000 0.836
Nb 0.333 0.667 0.270
Nb 0.333 0.667 0.612
Nb 0.667 0.333 0.388
Nb 0.667 0.333 0.730
Re 0.333 0.667 0.949
Re 0.667 0.333 0.051
Mo 0.000 0.000 0.500

Entry 15:
The following is a PBE calculation of a geometry-optimized Nb5ReMo4 structure, from Alexandria.

Calculated values
Energy relative to the lowest polymorph listed for this composition (meV per atom): 720
Density (g/cm3): 9.42
Formation energy from the elements (eV/atom): 0.54
E (eV per cell): -100.677

a = 6.510 Å, b = 6.510 Å, c = 6.510 Å
α = 98.74°, β = 98.74°, γ = 134.11°
Positions (direct):
Nb 0.000 0.000 0.000
Nb 0.451 0.511 0.607
Nb 0.511 0.903 0.060
Nb 0.843 0.451 0.940
Nb 0.903 0.843 0.393
Re 0.483 0.483 0.000
Mo 0.150 0.520 0.322
Mo 0.198 0.828 0.678
Mo 0.520 0.198 0.370
Mo 0.828 0.150 0.630

Entry 16:
The following is a PBE calculation of a geometry-optimized NbReMo3 structure, from Alexandria.

Calculated values
Energy relative to the lowest polymorph listed for this composition (meV per atom): 2265
Density (g/cm3): 9.40
Formation energy from the elements (eV/atom): 2.20
E (eV per cell): -43.994

a = 4.644 Å, b = 4.644 Å, c = 4.644 Å
α = 90.00°, β = 90.00°, γ = 90.00°
Positions (direct):
Nb 0.000 0.000 0.000
Re 0.500 0.500 0.500
Mo 0.000 0.000 0.500
Mo 0.000 0.500 0.000
Mo 0.500 0.000 0.000

Entry 17:
The following is a PBE calculation of a geometry-optimized Nb4ReMo3 structure, from Alexandria.

Calculated values
Energy relative to the lowest polymorph listed for this composition (meV per atom): 0
Density (g/cm3): 10.46
Formation energy from the elements (eV/atom): -0.19
E (eV per cell): -86.737

a = 3.222 Å, b = 4.561 Å, c = 9.136 Å
α = 90.00°, β = 90.00°, γ = 90.00°
Positions (direct):
Nb 0.000 0.000 0.000
Nb 0.000 0.000 0.500
Nb 0.000 0.500 0.248
Nb 0.000 0.500 0.752
Re 0.500 0.500 0.000
Mo 0.500 0.000 0.249
Mo 0.500 0.000 0.751
Mo 0.500 0.500 0.500

Entry 18:
The following is a PBE calculation of a geometry-optimized Nb4Re3Mo2 structure, from Alexandria.

Calculated values
Density (g/cm3): 12.58
Formation energy from the elements (eV/atom): -0.21
E (eV per cell): -101.151

a = 4.521 Å, b = 4.521 Å, c = 8.371 Å
α = 90.00°, β = 90.00°, γ = 120.00°
Positions (direct):
Nb 0.000 0.000 0.168
Nb 0.000 0.000 0.832
Nb 0.333 0.667 0.388
Nb 0.667 0.333 0.612
Re 0.000 0.000 0.500
Re 0.333 0.667 0.049
Re 0.667 0.333 0.951
Mo 0.333 0.667 0.727
Mo 0.667 0.333 0.273

Entry 19:
The following is a PBE calculation of a geometry-optimized Nb6ReMo structure, from Alexandria.

Calculated values
Energy relative to the lowest polymorph listed for this composition (meV per atom): 283
Density (g/cm3): 9.73
Formation energy from the elements (eV/atom): 0.14
E (eV per cell): -82.613

a = 5.791 Å, b = 5.791 Å, c = 5.791 Å
α = 110.55°, β = 110.55°, γ = 110.55°
Positions (direct):
Nb 0.250 0.250 0.748
Nb 0.250 0.748 0.250
Nb 0.252 0.750 0.750
Nb 0.748 0.250 0.250
Nb 0.750 0.252 0.750
Nb 0.750 0.750 0.252
Re 0.500 0.500 0.500
Mo 0.000 0.000 0.000

Entry 20:
The following is a PBE calculation of a geometry-optimized Nb6ReMo12 structure, from Alexandria.

Calculated values
Density (g/cm3): 9.75
Formation energy from the elements (eV/atom): 0.25
E (eV per cell): -198.046

a = 7.649 Å, b = 7.649 Å, c = 7.649 Å
α = 111.04°, β = 111.04°, γ = 111.04°
Positions (direct):
Nb 0.118 0.644 0.432
Nb 0.356 0.568 0.882
Nb 0.432 0.118 0.644
Nb 0.568 0.882 0.356
Nb 0.644 0.432 0.118
Nb 0.882 0.356 0.568
Re 0.000 0.000 0.000
Mo 0.099 0.117 0.717
Mo 0.117 0.717 0.099
Mo 0.192 0.300 0.444
Mo 0.283 0.901 0.883
Mo 0.300 0.444 0.192
Mo 0.444 0.192 0.300
Mo 0.556 0.808 0.700
Mo 0.700 0.556 0.808
Mo 0.717 0.099 0.117
Mo 0.808 0.700 0.556
Mo 0.883 0.283 0.901
Mo 0.901 0.883 0.283

Entry 21:
The following is a PBE calculation of a geometry-optimized Nb5ReMo structure, from Alexandria.

Calculated values
Density (g/cm3): 9.73
Formation energy from the elements (eV/atom): 0.30
E (eV per cell): -143.015

a = 5.564 Å, b = 5.564 Å, c = 8.891 Å
α = 98.95°, β = 98.95°, γ = 106.53°
Positions (direct):
Nb 0.026 0.371 0.827
Nb 0.142 0.858 0.750
Nb 0.245 0.543 0.486
Nb 0.371 0.026 0.327
Nb 0.457 0.755 0.014
Nb 0.543 0.245 0.986
Nb 0.629 0.974 0.673
Nb 0.755 0.457 0.514
Nb 0.858 0.142 0.250
Nb 0.974 0.629 0.173
Re 0.476 0.524 0.250
Re 0.524 0.476 0.750
Mo 0.000 0.000 0.000
Mo 0.000 0.000 0.500

Entry 22:
The following is a PBE calculation of a geometry-optimized Nb4ReMo2 structure, from Alexandria.

Calculated values
Energy relative to the lowest polymorph listed for this composition (meV per atom): 117
Density (g/cm3): 9.87
Formation energy from the elements (eV/atom): 0.26
E (eV per cell): -145.093

a = 5.349 Å, b = 6.168 Å, c = 8.283 Å
α = 89.92°, β = 78.78°, γ = 70.55°
Positions (direct):
Nb 0.165 0.260 0.255
Nb 0.177 0.324 0.856
Nb 0.196 0.782 0.342
Nb 0.332 0.756 0.739
Nb 0.668 0.244 0.261
Nb 0.804 0.218 0.658
Nb 0.823 0.676 0.144
Nb 0.835 0.740 0.745
Re 0.261 0.433 0.537
Re 0.739 0.567 0.463
Mo 0.000 0.000 0.000
Mo 0.500 0.000 0.000
Mo 0.500 0.000 0.500
Mo 0.500 0.500 0.000